[1]
First-principles (PBE-GGA) data for a relaxed structure of SmY2S, as listed in Alexandria.

Calculated values
As for the crystal system: trigonal. For the uncorrected formation energy, the calculation gives -0.7593 eV/atom. Its space group is R-3m, No. 166. The offset from the most stable computed form is 0.204 eV/atom.

POSCAR file:
```
SmY2S
1.0
-0.1127 1.7296 3.2553
-3.0137 1.8848 0.9833
-4.8416 -7.1050 5.6964
Y S Sm
2 1 1
Direct
0.1127 0.1127 0.6619
0.8873 0.8873 0.3381
0.5000 0.5000 0.5000
0.0000 0.0000 0.0000
```

[2]
First-principles (PBE-GGA) data for a relaxed structure of NaNiGe2Ir, as listed in Alexandria.

Calculated values
As for the crystal system: tetragonal. Its space group is I-4m2, No. 119. The calculation puts the calculated formation energy at -0.291 eV per atom.

POSCAR file:
```
NaNiGe2Ir
1.0
-0.8708 0.9469 3.7788
-3.4198 -2.0402 -0.2768
4.6773 -3.9288 -0.0460
Na Ni Ge Ir
1 1 2 1
Direct
0.0000 0.0000 0.0000
0.2500 0.7500 0.5000
0.6220 0.6220 0.2439
0.3780 0.3780 0.7561
0.7500 0.2500 0.5000
```

[3]
First-principles (PBE-GGA) data for a relaxed structure of CsTa2TiB, as listed in Alexandria.

Calculated values
As for the crystal system: tetragonal. Its space group is P4/mmm, No. 123. The calculation puts the calculated formation energy at 1.940 eV per atom. The offset from the most stable computed form is 0.000 eV/atom.

POSCAR file:
```
CsTa2TiB
1.0
-0.0061 4.7200 -1.5443
-2.5322 -1.1634 -3.5456
-4.1094 0.8624 2.6518
Cs B Ti Ta
1 1 1 2
Direct
0.5000 0.5000 0.5000
0.0000 0.5000 0.0000
0.0000 0.0000 0.0000
0.0000 0.0000 0.5000
0.5000 0.0000 0.0000
```

[4]
First-principles (PBE-GGA) data for a relaxed structure of HfCr4In, as listed in Alexandria.

Calculated values
As for the crystal system: cubic. Its space group is F-43m, No. 216. The calculation puts the calculated formation energy at 0.094 eV per atom.

POSCAR file:
```
HfCr4In
1.0
-2.1694 3.7515 -2.4826
-1.4577 -0.6502 -4.7324
-4.8652 -0.2211 -1.1064
Cr Hf In
4 1 1
Direct
0.6261 0.6261 0.1218
0.6261 0.1218 0.6261
0.6261 0.6261 0.6261
0.1218 0.6261 0.6261
0.2500 0.2500 0.2500
0.0000 0.0000 0.0000
```